GGA-PBE Sr5CdIn2, relaxed; E = -2.1564 eV/atom; formation energy = -306.3 meV per atom; SG = No. 140
1.0
8.058 0.000 -3.804
-1.796 7.856 -3.804
-0.096 -0.121 10.233
Sr In Cd
10 4 2
direct
0.687 0.187 0.711
0.975 0.475 0.289
0.813 0.975 0.289
0.525 0.687 0.711
0.025 0.525 0.711
0.000 0.000 0.000
0.187 0.025 0.711
0.313 0.813 0.289
0.475 0.313 0.289
0.500 0.500 0.000
0.121 0.379 0.000
0.621 0.121 0.000
0.879 0.621 0.000
0.379 0.879 0.000
0.750 0.750 0.500
0.250 0.250 0.500